First-principles (SCAN) data for SrLiP2 at its PBEsol-relaxed geometry, as listed in Alexandria via LeMat-Bulk.

Values from the calculation:
Energy above the lowest structure with this stoichiometry ... 0.000 eV/atom
ΔE_f ... -0.6968 eV/atom
Calculated total energy ... -12.06 eV/atom
DOS at the Fermi energy ... 0.13 states/eV/atom

a b c (Å): 4.1845 4.2124 5.4610
angles (deg): 90.00 112.51 90.00
Element x y z (fractional)
P 0.2896 0.5000 0.2044
P 0.1846 0.0000 0.9940
Li 0.6363 0.5000 0.8976
Sr 0.8894 0.0000 0.4041